# 1
10
Lattice="5.826 0.000 0.000 0.156 5.825 0.000 0.475 0.512 10.260" Properties=species:S:1:pos:R:3 comment="NaAsBr3 (GGA-PBE, optimized geometry)" raw_formation_energy_ev_per_atom=-0.82 pbc="T T T"
Na 1.484 1.469 0.018
Na 4.973 4.868 10.243
As 0.712 3.549 3.986
As 5.745 2.788 6.275
Br 1.051 1.295 3.253
Br 1.584 4.380 0.568
Br 2.148 2.411 7.036
Br 4.309 3.925 3.224
Br 4.874 1.957 9.692
Br 5.406 5.041 7.007

# 2
12
Lattice="4.284 0.000 0.000 -2.142 3.710 0.000 0.000 0.000 7.156" Properties=species:S:1:pos:R:3 comment="ZrBe8Co3 (GGA-PBE, optimized geometry)" delta_e_f_ev_per_atom=-0.2281 pbc="T T T"
Zr 0.000 0.000 0.000
Be 0.000 1.222 4.806
Be -1.083 3.099 4.806
Be 0.000 2.473 3.188
Be 0.000 2.473 6.608
Be 2.142 0.023 1.563
Be 1.091 1.843 1.563
Be 1.083 3.099 4.806
Be 3.193 1.843 1.563
Co 0.000 0.000 2.671
Co 2.142 1.237 3.589
Co 2.142 1.237 6.213

# 3
4
Lattice="3.002 0.000 0.000 0.000 3.038 0.000 0.000 0.000 9.497" Properties=species:S:1:pos:R:3 comment="Pa3Be (GGA-PBE, optimized geometry)" delta_e_f_ev_per_atom=0.3903 pbc="T T T"
Pa 0.000 0.000 0.000
Pa 0.000 1.519 2.707
Pa 1.501 1.519 6.949
Be 1.501 0.000 4.558